No. 1
Computed, not measured: crystalline SmDyTlNi2 at its relaxed geometry at the PBE-GGA level of DFT.

Output
calculated total energy: -5.017 eV per atom
calculated volume: 21.1 A^3/atom

a b c (Å): 3.7045 7.5218 7.5218
angles (deg): 30.29 90.00 90.00
With the nearest neighbours (Å) after each atom.
Element x y z (fractional)
Ni: 0.0000 0.2037 0.2037  2 Ni 2.42
Ni: 0.0000 0.8007 0.8007  2 Ni 2.42
Tl: 0.0000 0.9973 0.9973  2 Ni 2.85-3.00
Sm: 0.5000 0.6378 0.6378  6 Ni 2.87-3.00
Dy: 0.5000 0.3606 0.3606  6 Ni 2.84-2.94

---

No. 2
Computed, not measured: crystalline DyNi4Sn at its relaxed geometry at the PBE-GGA level of DFT.

Output
calculated total energy: -5.540 eV per atom
calculated volume: 14.5 A^3/atom

a b c (Å): 4.9784 4.9784 4.9784
angles (deg): 60.00 60.00 60.00
With the nearest neighbours (Å) after each atom.
Element x y z (fractional)
Ni: 0.3755 0.3755 0.8736  6 Ni 2.48-2.50
Ni: 0.8736 0.3755 0.3755  6 Ni 2.48-2.50
Ni: 0.3755 0.8736 0.3755  6 Ni 2.48-2.50
Ni: 0.3755 0.3755 0.3755  6 Ni 2.48-2.50
Sn: 0.7500 0.7500 0.7500  12 Ni 2.92, 4 Dy 3.05
Dy: 0.0000 0.0000 0.0000  12 Ni 2.92, 4 Sn 3.05

---

No. 3
Computed, not measured: crystalline Dy2Ni2Sn at its relaxed geometry at the PBE-GGA level of DFT.

Output
calculated total energy: -5.474 eV per atom
calculated volume: 19.8 A^3/atom

a b c (Å): 7.3411 7.3411 3.6681
angles (deg): 90.00 90.00 90.00
With the nearest neighbours (Å) after each atom.
Element x y z (fractional)
Ni: 0.3792 0.8792 0.0000  1 Ni 2.51, 2 Dy 2.80
Ni: 0.8792 0.6208 0.0000  1 Ni 2.51, 2 Dy 2.80
Ni: 0.6208 0.1208 0.0000  1 Ni 2.51, 2 Dy 2.80
Ni: 0.1208 0.3792 0.0000  1 Ni 2.51, 2 Dy 2.80
Dy: 0.6753 0.8247 0.5000  6 Ni 2.80-2.87
Dy: 0.1753 0.6753 0.5000  6 Ni 2.80-2.87
Dy: 0.3247 0.1753 0.5000  6 Ni 2.80-2.87
Dy: 0.8247 0.3247 0.5000  6 Ni 2.80-2.87
Sn: 0.5000 0.5000 0.0000  4 Ni 2.92, 8 Dy 3.27
Sn: 0.0000 0.0000 0.0000  4 Ni 2.92, 8 Dy 3.27

---

No. 4
Computed, not measured: crystalline Dy12Ni6Sn at its relaxed geometry at the PBE-GGA level of DFT.

Output
calculated total energy: -5.283 eV per atom
calculated volume: 23.9 A^3/atom

a b c (Å): 8.3920 8.3920 8.3920
angles (deg): 109.47 109.47 109.47
With the nearest neighbours (Å) after each atom.
Element x y z (fractional)
Dy: 0.6960 0.8834 0.1874  3 Ni 2.64-2.89
Dy: 0.8834 0.1874 0.6960  3 Ni 2.64-2.89
Dy: 0.1874 0.6960 0.8834  3 Ni 2.64-2.89
Dy: 0.8126 0.6960 0.5086  3 Ni 2.64-2.89
Dy: 0.1166 0.8126 0.3040  3 Ni 2.64-2.89
Dy: 0.6960 0.5086 0.8126  3 Ni 2.64-2.89
Dy: 0.4914 0.1874 0.3040  3 Ni 2.64-2.89
Dy: 0.8126 0.3040 0.1166  3 Ni 2.64-2.89
Dy: 0.1874 0.3040 0.4914  3 Ni 2.64-2.89
Dy: 0.5086 0.8126 0.6960  3 Ni 2.64-2.89
Dy: 0.3040 0.4914 0.1874  3 Ni 2.64-2.89
Dy: 0.3040 0.1166 0.8126  3 Ni 2.64-2.89
Ni: 0.8765 0.3765 0.5000  1 Ni 2.39, 2 Dy 2.64
Ni: 0.1235 0.6235 0.5000  1 Ni 2.39, 2 Dy 2.64
Ni: 0.3765 0.5000 0.8765  1 Ni 2.39, 2 Dy 2.64
Ni: 0.6235 0.5000 0.1235  1 Ni 2.39, 2 Dy 2.64
Ni: 0.5000 0.1235 0.6235  1 Ni 2.39, 2 Dy 2.64
Ni: 0.5000 0.8765 0.3765  1 Ni 2.39, 2 Dy 2.64
Sn: 0.0000 0.0000 0.0000  12 Dy 3.46

---

No. 5
Computed, not measured: crystalline DyNiSn2 at its relaxed geometry at the PBE-GGA level of DFT.

Output
calculated total energy: -5.125 eV per atom
calculated volume: 21.9 A^3/atom

a b c (Å): 16.1401 4.4420 14.6332
angles (deg): 90.00 90.00 90.00
With the nearest neighbours (Å) after each atom.
Element x y z (fractional)
Ni: 0.0512 0.7500 0.8942  5 Sn 2.54-2.74
Ni: 0.2993 0.7500 0.0435  5 Sn 2.54-2.66
Ni: 0.8039 0.7500 0.7475  5 Sn 2.50-2.78
Ni: 0.9488 0.2500 0.1058  5 Sn 2.54-2.74
Ni: 0.1961 0.2500 0.2525  5 Sn 2.50-2.78
Ni: 0.7993 0.7500 0.4565  5 Sn 2.54-2.66
Ni: 0.4488 0.2500 0.3942  5 Sn 2.54-2.74
Ni: 0.6961 0.2500 0.2475  5 Sn 2.50-2.78
Ni: 0.5512 0.7500 0.6058  5 Sn 2.54-2.74
Ni: 0.2007 0.2500 0.5435  5 Sn 2.54-2.66
Ni: 0.3039 0.7500 0.7525  5 Sn 2.50-2.78
Ni: 0.7007 0.2500 0.9565  5 Sn 2.54-2.66
Sn: 0.4665 0.7500 0.7611  2 Ni 2.63-2.65
Sn: 0.5436 0.2500 0.9504  1 Ni 2.54
Sn: 0.0335 0.2500 0.2611  2 Ni 2.63-2.65
Sn: 0.5210 0.7500 0.4215  3 Ni 2.54-2.74
Sn: 0.4790 0.2500 0.5785  3 Ni 2.54-2.74
Sn: 0.5335 0.2500 0.2389  2 Ni 2.63-2.65
Sn: 0.0210 0.7500 0.0785  3 Ni 2.54-2.74
Sn: 0.9564 0.7500 0.4504  1 Ni 2.54
Sn: 0.6737 0.7500 0.8717  3 Ni 2.58-2.78
Sn: 0.6855 0.7500 0.3245  3 Ni 2.50-2.66
Sn: 0.7867 0.2500 0.1061  3 Ni 2.53-2.62
Sn: 0.2133 0.7500 0.8939  3 Ni 2.53-2.62
Sn: 0.4564 0.7500 0.0496  1 Ni 2.54
Sn: 0.8263 0.2500 0.3717  3 Ni 2.58-2.78
Sn: 0.1737 0.7500 0.6283  3 Ni 2.58-2.78
Sn: 0.8145 0.2500 0.8245  3 Ni 2.50-2.66
Sn: 0.0436 0.2500 0.5496  1 Ni 2.54
Sn: 0.7133 0.7500 0.6061  3 Ni 2.53-2.62
Sn: 0.2867 0.2500 0.3939  3 Ni 2.53-2.62
Sn: 0.3145 0.2500 0.6755  3 Ni 2.50-2.66
Sn: 0.1855 0.7500 0.1755  3 Ni 2.50-2.66
Sn: 0.9790 0.2500 0.9215  3 Ni 2.54-2.74
Sn: 0.3263 0.2500 0.1283  3 Ni 2.58-2.78
Sn: 0.9665 0.7500 0.7389  2 Ni 2.63-2.65
Dy: 0.3750 0.7500 0.2707  2 Ni 3.10, 8 Sn 3.15-3.42
Dy: 0.8750 0.7500 0.2293  2 Ni 3.10, 8 Sn 3.15-3.42
Dy: 0.1250 0.2500 0.7707  2 Ni 3.10, 8 Sn 3.15-3.42
Dy: 0.8541 0.2500 0.6058  4 Ni 3.14-3.24, 7 Sn 3.17-3.47
Dy: 0.6250 0.2500 0.7293  2 Ni 3.10, 8 Sn 3.15-3.42
Dy: 0.8494 0.7500 0.9725  8 Sn 3.13-3.20, 6 Ni 3.28-3.45
Dy: 0.6459 0.7500 0.1058  4 Ni 3.14-3.24, 7 Sn 3.17-3.47
Dy: 0.3541 0.2500 0.8942  4 Ni 3.14-3.24, 7 Sn 3.17-3.47
Dy: 0.3494 0.7500 0.5275  8 Sn 3.13-3.20, 6 Ni 3.28-3.45
Dy: 0.1459 0.7500 0.3942  4 Ni 3.14-3.24, 7 Sn 3.17-3.47
Dy: 0.1506 0.2500 0.0275  8 Sn 3.13-3.20, 6 Ni 3.28-3.45
Dy: 0.6506 0.2500 0.4725  8 Sn 3.13-3.20, 6 Ni 3.28-3.45

---

No. 6
Computed, not measured: crystalline Dy4Ni12Sn25 at its relaxed geometry at the PBE-GGA level of DFT.

Output
calculated total energy: -4.854 eV per atom
calculated volume: 20.7 A^3/atom

a b c (Å): 10.3359 10.3359 10.3359
angles (deg): 109.47 109.47 109.47
With the nearest neighbours (Å) after each atom.
Element x y z (fractional)
Sn: 0.8733 0.7521 0.6254  3 Ni 2.52-2.60
Sn: 0.2574 0.6276 0.6298  3 Ni 2.56-2.68
Sn: 0.2479 0.3746 0.1267  3 Ni 2.52-2.60
Sn: 0.3702 0.9978 0.6276  3 Ni 2.56-2.68
Sn: 0.0022 0.3724 0.6298  3 Ni 2.56-2.68
Sn: 0.1267 0.2479 0.3746  3 Ni 2.52-2.60
Sn: 0.8788 0.1267 0.7521  3 Ni 2.52-2.60
Sn: 0.8733 0.2479 0.1212  3 Ni 2.52-2.60
Sn: 0.6298 0.2574 0.6276  3 Ni 2.56-2.68
Sn: 0.7521 0.6254 0.8733  3 Ni 2.52-2.60
Sn: 0.3702 0.7426 0.3724  3 Ni 2.56-2.68
Sn: 0.3724 0.6298 0.0022  3 Ni 2.56-2.68
Sn: 0.7521 0.8788 0.1267  3 Ni 2.52-2.60
Sn: 0.6276 0.3702 0.9978  3 Ni 2.56-2.68
Sn: 0.1212 0.8733 0.2479  3 Ni 2.52-2.60
Sn: 0.3746 0.1267 0.2479  3 Ni 2.52-2.60
Sn: 0.2479 0.1212 0.8733  3 Ni 2.52-2.60
Sn: 0.6254 0.8733 0.7521  3 Ni 2.52-2.60
Sn: 0.9978 0.6276 0.3702  3 Ni 2.56-2.68
Sn: 0.0000 0.0000 0.0000  12 Sn 3.32
Sn: 0.7426 0.3724 0.3702  3 Ni 2.56-2.68
Sn: 0.6276 0.6298 0.2574  3 Ni 2.56-2.68
Sn: 0.3724 0.3702 0.7426  3 Ni 2.56-2.68
Sn: 0.1267 0.7521 0.8788  3 Ni 2.52-2.60
Sn: 0.6298 0.0022 0.3724  3 Ni 2.56-2.68
Ni: 0.3201 0.1623 0.4824  6 Sn 2.52-2.68
Ni: 0.6799 0.8377 0.5176  6 Sn 2.52-2.68
Ni: 0.1578 0.3201 0.8377  6 Sn 2.52-2.68
Ni: 0.4824 0.3201 0.1623  6 Sn 2.52-2.68
Ni: 0.8377 0.1578 0.3201  6 Sn 2.52-2.68
Ni: 0.6799 0.1623 0.8422  6 Sn 2.52-2.68
Ni: 0.8377 0.5176 0.6799  6 Sn 2.52-2.68
Ni: 0.1623 0.4824 0.3201  6 Sn 2.52-2.68
Ni: 0.3201 0.8377 0.1578  6 Sn 2.52-2.68
Ni: 0.5176 0.6799 0.8377  6 Sn 2.52-2.68
Ni: 0.1623 0.8422 0.6799  6 Sn 2.52-2.68
Ni: 0.8422 0.6799 0.1623  6 Sn 2.52-2.68
Dy: 0.0000 0.0000 0.5000  6 Ni 3.27, 12 Sn 3.33-3.62
Dy: 0.5000 0.0000 0.0000  6 Ni 3.27, 12 Sn 3.33-3.62
Dy: 0.0000 0.5000 0.0000  6 Ni 3.27, 12 Sn 3.33-3.62
Dy: 0.5000 0.5000 0.5000  6 Ni 3.27, 12 Sn 3.33-3.62

---

No. 7
Computed, not measured: crystalline Dy6Ni2Sn at its relaxed geometry at the PBE-GGA level of DFT.

Output
calculated total energy: -5.157 eV per atom
calculated volume: 25.3 A^3/atom

a b c (Å): 8.4071 8.4071 8.4071
angles (deg): 109.43 105.95 113.11
With the nearest neighbours (Å) after each atom.
Element x y z (fractional)
Ni: 0.5000 0.1485 0.6485  6 Dy 2.76-2.90, 1 Ni 2.88
Ni: 0.8769 0.0000 0.8769  1 Ni 2.49, 2 Dy 2.70
Ni: 0.5000 0.8515 0.3515  6 Dy 2.76-2.90, 1 Ni 2.88
Ni: 0.1231 0.0000 0.1231  1 Ni 2.49, 2 Dy 2.70
Dy: 0.1331 0.8085 0.3246  3 Ni 2.70-2.90
Dy: 0.5161 0.1915 0.3246  3 Ni 2.70-2.90
Dy: 0.8669 0.1915 0.6754  3 Ni 2.70-2.90
Dy: 0.2090 0.3915 0.1825  3 Ni 2.91-3.16, 1 Sn 3.23
Dy: 0.7910 0.6085 0.8175  3 Ni 2.91-3.16, 1 Sn 3.23
Dy: 0.2671 0.2960 0.5631  1 Ni 2.76, 1 Sn 3.08
Dy: 0.7329 0.2960 0.0289  1 Ni 2.76, 1 Sn 3.08
Dy: 0.2090 0.0265 0.8175  3 Ni 2.91-3.16, 1 Sn 3.23
Dy: 0.7329 0.7040 0.4369  1 Ni 2.76, 1 Sn 3.08
Dy: 0.7910 0.9735 0.1825  3 Ni 2.91-3.16, 1 Sn 3.23
Dy: 0.2671 0.7040 0.9711  1 Ni 2.76, 1 Sn 3.08
Dy: 0.4839 0.8085 0.6754  3 Ni 2.70-2.90
Sn: 0.0000 0.5000 0.5000  12 Dy 3.35-3.64
Sn: 0.5000 0.5000 0.0000  8 Dy 3.08-3.23, 2 Ni 3.41

---

No. 8
Computed, not measured: crystalline Tb2DyNi4Sn4 at its relaxed geometry at the PBE-GGA level of DFT.

Output
calculated total energy: -5.302 eV per atom
calculated volume: 19.9 A^3/atom

a b c (Å): 8.2380 8.2380 8.2380
angles (deg): 149.08 129.86 60.08
With the nearest neighbours (Å) after each atom.
Element x y z (fractional)
Ni: 0.6307 0.3217 0.3090  4 Sn 2.63-2.65, 1 Ni 2.67
Ni: 0.3693 0.6783 0.6910  4 Sn 2.63-2.65, 1 Ni 2.67
Ni: 0.9873 0.6783 0.3090  4 Sn 2.63-2.65, 1 Ni 2.67
Ni: 0.0127 0.3217 0.6910  4 Sn 2.63-2.65, 1 Ni 2.67
Tb: 0.3686 0.8686 0.5000  6 Ni 3.02-3.15, 6 Sn 3.09-3.22
Tb: 0.6314 0.1314 0.5000  6 Ni 3.02-3.15, 6 Sn 3.09-3.22
Sn: 0.7838 0.7838 0.0000  6 Ni 2.63
Sn: 0.2954 0.5000 0.7954  2 Ni 2.65, 1 Sn 2.86
Sn: 0.7046 0.5000 0.2046  2 Ni 2.65, 1 Sn 2.86
Sn: 0.2162 0.2162 0.0000  6 Ni 2.63
Dy: 0.0000 0.0000 0.0000  6 Sn 3.01-3.08

---

No. 9
Computed, not measured: crystalline TbDyNi2Sn at its relaxed geometry at the PBE-GGA level of DFT.

Output
calculated total energy: -5.487 eV per atom
calculated volume: 20.3 A^3/atom

a b c (Å): 3.6448 7.2435 7.2435
angles (deg): 32.13 90.00 90.00
With the nearest neighbours (Å) after each atom.
Element x y z (fractional)
Dy: 0.0000 0.3635 0.3635  6 Ni 2.84-2.94
Ni: 0.5000 0.8023 0.8023  2 Ni 2.47, 1 Sn 2.75
Ni: 0.5000 0.1981 0.1981  2 Ni 2.47, 1 Sn 2.76
Tb: 0.0000 0.6364 0.6364  6 Ni 2.84-2.94
Sn: 0.5000 0.9997 0.9997  2 Ni 2.75-2.76

---

No. 10
Computed, not measured: crystalline DyTmNi2Sn at its relaxed geometry at the PBE-GGA level of DFT.

Output
calculated total energy: -5.466 eV per atom
calculated volume: 19.8 A^3/atom

a b c (Å): 3.6066 7.1820 7.1820
angles (deg): 32.13 90.00 90.00
With the nearest neighbours (Å) after each atom.
Element x y z (fractional)
Ni: 0.5000 0.8018 0.8018  2 Ni 2.45, 1 Sn 2.74
Ni: 0.5000 0.1977 0.1977  2 Ni 2.45, 1 Sn 2.72
Dy: 0.0000 0.3629 0.3629  6 Ni 2.81-2.91
Tm: 0.0000 0.6372 0.6372  6 Ni 2.81-2.90
Sn: 0.5000 0.0003 0.0003  2 Ni 2.72-2.74

---

No. 11
Computed, not measured: crystalline DyY2Ni4Sn4 at its relaxed geometry at the PBE-GGA level of DFT.

Output
calculated total energy: -5.642 eV per atom
calculated volume: 19.8 A^3/atom

a b c (Å): 8.2274 8.2274 8.2274
angles (deg): 149.14 129.63 60.24
With the nearest neighbours (Å) after each atom.
Element x y z (fractional)
Ni: 0.6312 0.3223 0.3089  4 Sn 2.62-2.64, 1 Ni 2.68
Ni: 0.9866 0.6777 0.3089  4 Sn 2.62-2.64, 1 Ni 2.68
Ni: 0.3688 0.6777 0.6911  4 Sn 2.62-2.64, 1 Ni 2.68
Ni: 0.0134 0.3223 0.6911  4 Sn 2.62-2.64, 1 Ni 2.68
Sn: 0.2954 0.5000 0.7954  2 Ni 2.63, 1 Sn 2.87
Sn: 0.7046 0.5000 0.2046  2 Ni 2.63, 1 Sn 2.87
Sn: 0.2164 0.2164 0.0000  6 Ni 2.62-2.64
Sn: 0.7836 0.7836 0.0000  6 Ni 2.62-2.64
Y: 0.3689 0.8689 0.5000  6 Ni 3.03-3.15, 6 Sn 3.08-3.21
Y: 0.6311 0.1311 0.5000  6 Ni 3.03-3.15, 6 Sn 3.08-3.21
Dy: 0.0000 0.0000 0.0000  6 Sn 3.01-3.08

---

No. 12
Computed, not measured: crystalline DyYNi2Sn at its relaxed geometry at the PBE-GGA level of DFT.

Output
calculated total energy: -5.855 eV per atom
calculated volume: 20.3 A^3/atom

a b c (Å): 3.6586 7.2404 7.2404
angles (deg): 32.01 90.00 90.00
With the nearest neighbours (Å) after each atom.
Element x y z (fractional)
Y: 0.0000 0.6353 0.6353  6 Ni 2.85-2.96
Dy: 0.0000 0.3629 0.3629  6 Ni 2.83-2.92
Sn: 0.5000 0.9999 0.9999  2 Ni 2.74-2.77
Ni: 0.5000 0.1991 0.1991  2 Ni 2.46
Ni: 0.5000 0.8029 0.8029  2 Ni 2.46, 1 Sn 2.74